[1]
CeTlIn2 after structural relaxation. Source: the Alexandria database, functional PBE.

```
CeTlIn2
1.0
4.760 0.000 0.000
0.000 4.742 0.000
0.000 0.000 4.742
Ce In Tl
1 2 1
Direct
0.500 0.500 0.500 Ce
0.000 0.000 0.500 In
0.000 0.500 0.000 In
0.500 0.000 0.000 Tl
```

Computed properties:
energy of formation from the pure elements: -1.4 eV/f.u.
crystal system: tetragonal
space-group type: P4/mmm (123)

[2]
Ce11Tl4In9 after structural relaxation. Source: the Alexandria database, functional PBE.

```
Ce11Tl4In9
1.0
-3.818 0.765 -2.458
2.580 -10.028 -7.128
-7.028 -3.136 9.939
Ce Tl In
11 4 9
Direct
0.000 0.641 0.359 Ce
0.000 0.000 0.000 Ce
0.000 0.420 0.053 Ce
0.000 0.580 0.947 Ce
0.000 0.947 0.580 Ce
0.000 0.053 0.420 Ce
0.000 0.359 0.641 Ce
0.000 0.271 0.271 Ce
0.000 0.835 0.165 Ce
0.000 0.165 0.835 Ce
0.000 0.729 0.729 Ce
0.500 0.754 0.556 Tl
0.500 0.246 0.444 Tl
0.500 0.444 0.246 Tl
0.500 0.556 0.754 Tl
0.500 0.208 0.046 In
0.500 0.792 0.954 In
0.500 0.149 0.634 In
0.500 0.046 0.208 In
0.500 0.634 0.149 In
0.500 0.366 0.851 In
0.500 0.954 0.792 In
0.500 0.500 0.500 In
0.500 0.851 0.366 In
```

Computed properties:
energy of formation from the pure elements: -7.1 eV/f.u.
crystal system: orthorhombic
space-group type: Cmmm (65)

[3]
Ce3TlIn5 after structural relaxation. Source: the Alexandria database, functional PBE.

```
Ce3TlIn5
1.0
6.620 0.000 0.000
0.000 9.313 0.000
0.000 -4.657 8.066
Ce In Tl
6 10 2
Direct
0.750 0.327 0.000 Ce
0.250 0.327 0.327 Ce
0.250 0.000 0.673 Ce
0.750 0.000 0.327 Ce
0.250 0.673 0.000 Ce
0.750 0.673 0.673 Ce
0.750 0.659 0.000 In
0.500 0.667 0.333 In
0.250 0.000 0.341 In
0.500 0.333 0.667 In
0.000 0.667 0.333 In
0.750 0.341 0.341 In
0.250 0.659 0.659 In
0.250 0.341 0.000 In
0.000 0.333 0.667 In
0.750 0.000 0.659 In
0.000 0.000 0.000 Tl
0.500 0.000 0.000 Tl
```

Computed properties:
energy of formation from the pure elements: -2.5 eV/f.u.
crystal system: hexagonal
space-group type: P6_3/mcm (193)

[4]
Ce4TlIn2 after structural relaxation. Source: the Alexandria database, functional PBE.

```
Ce4TlIn2
1.0
3.593 0.000 0.000
0.000 4.888 0.000
0.000 -2.444 11.344
Ce In Tl
4 2 1
Direct
0.500 0.065 0.130 Ce
0.500 0.935 0.870 Ce
0.000 0.656 0.311 Ce
0.000 0.344 0.689 Ce
0.500 0.212 0.424 In
0.500 0.788 0.576 In
0.000 0.500 0.000 Tl
```

Computed properties:
energy relative to the lowest polymorph listed for this composition: 0.000 eV/f.u.
energy of formation from the pure elements: -1.5 eV/f.u.
crystal system: orthorhombic
space-group type: Cmmm (65)

[5]
Ce5TlIn after structural relaxation. Source: the Alexandria database, functional PBE.

```
Ce5TlIn
1.0
-3.484 -6.975 -2.682
2.495 -6.615 -4.244
1.459 -12.139 2.784
In Ce Tl
2 10 2
Direct
0.249 0.751 0.250 In
0.751 0.249 0.750 In
0.670 0.697 0.395 Ce
0.187 0.359 0.871 Ce
0.759 0.241 0.250 Ce
0.359 0.187 0.371 Ce
0.303 0.330 0.105 Ce
0.641 0.813 0.629 Ce
0.697 0.670 0.895 Ce
0.813 0.641 0.129 Ce
0.241 0.759 0.750 Ce
0.330 0.303 0.605 Ce
0.000 0.000 0.500 Tl
0.000 0.000 0.000 Tl
```

Computed properties:
energy of formation from the pure elements: -0.3 eV/f.u.
crystal system: monoclinic
space-group type: C2/c (15)

[6]
Ce4Tl3In after structural relaxation. Source: the Alexandria database, functional PBE.

```
Ce4Tl3In
1.0
4.732 0.000 -1.277
-0.338 4.726 -1.253
0.161 0.122 9.999
In Tl Ce
1 3 4
Direct
0.500 0.000 0.000 In
0.000 0.500 0.000 Tl
0.250 0.750 0.500 Tl
0.750 0.250 0.500 Tl
0.876 0.876 0.751 Ce
0.376 0.376 0.751 Ce
0.124 0.124 0.249 Ce
0.624 0.624 0.249 Ce
```

Computed properties:
energy relative to the lowest polymorph listed for this composition: 0.000 eV/f.u.
energy of formation from the pure elements: -2.2 eV/f.u.
crystal system: tetragonal
space-group type: I4/mmm (139)

[7]
CeTlIn2 after structural relaxation. Source: the Alexandria database, functional PBE.

```
CeTlIn2
1.0
3.924 0.000 0.000
0.000 3.924 0.000
0.000 0.000 7.283
Tl In Ce
1 2 1
Direct
0.500 0.500 0.500 Tl
0.000 0.000 0.270 In
0.000 0.000 0.730 In
0.500 0.500 0.000 Ce
```

Computed properties:
energy of formation from the pure elements: -0.6 eV/f.u.
crystal system: tetragonal
space-group type: P4/mmm (123)

[8]
Ce4TlIn after structural relaxation. Source: the Alexandria database, functional PBE.

```
Ce4TlIn
1.0
-0.443 3.100 0.974
-4.452 0.635 -4.046
-2.843 -4.340 7.004
Ce Tl In
4 1 1
Direct
0.626 0.543 0.085 Ce
0.460 0.109 0.754 Ce
0.278 0.694 0.390 Ce
0.460 0.645 0.754 Ce
0.800 0.216 0.433 Tl
0.125 0.042 0.083 In
```

Computed properties:
energy relative to the lowest polymorph listed for this composition: 0.601 eV/f.u.
energy of formation from the pure elements: -0.4 eV/f.u.
crystal system: monoclinic
space-group type: Cm (8)

[9]
Ce8TlIn2 after structural relaxation. Source: the Alexandria database, functional PBE.

```
Ce8TlIn2
1.0
5.197 0.000 -1.571
-0.746 7.159 -2.469
-0.376 -0.538 8.135
Ce In Tl
8 2 1
Direct
0.040 0.774 0.080 Ce
0.415 0.512 0.830 Ce
0.143 0.165 0.286 Ce
0.960 0.226 0.920 Ce
0.857 0.835 0.714 Ce
0.585 0.488 0.170 Ce
0.685 0.883 0.370 Ce
0.315 0.117 0.630 Ce
0.217 0.638 0.434 In
0.783 0.362 0.566 In
0.500 0.000 0.000 Tl
```

Computed properties:
energy relative to the lowest polymorph listed for this composition: 0.000 eV/f.u.
energy of formation from the pure elements: -2.0 eV/f.u.
crystal system: monoclinic
space-group type: C2/m (12)

[10]
Ce5TlIn2 after structural relaxation. Source: the Alexandria database, functional PBE.

```
Ce5TlIn2
1.0
-2.179 -3.423 -3.745
6.379 0.898 -0.462
2.155 -10.849 8.662
Tl Ce In
2 10 4
Direct
0.754 0.508 0.750 Tl
0.246 0.492 0.250 Tl
0.919 0.839 0.567 Ce
0.395 0.790 0.472 Ce
0.081 0.161 0.433 Ce
0.919 0.839 0.933 Ce
0.081 0.161 0.067 Ce
0.530 0.061 0.250 Ce
0.470 0.939 0.750 Ce
0.605 0.210 0.528 Ce
0.605 0.210 0.972 Ce
0.395 0.790 0.028 Ce
0.194 0.387 0.857 In
0.194 0.387 0.643 In
0.806 0.613 0.357 In
0.806 0.613 0.143 In
```

Computed properties:
energy relative to the lowest polymorph listed for this composition: 0.728 eV/f.u.
energy of formation from the pure elements: -0.8 eV/f.u.
crystal system: orthorhombic
space-group type: Cmcm (63)

[11]
Ce4TlIn5 after structural relaxation. Source: the Alexandria database, functional PBE.

```
Ce4TlIn5
1.0
5.587 0.933 -1.562
0.538 6.576 -1.478
0.026 0.029 7.514
In Ce Tl
5 4 1
Direct
0.905 0.598 0.798 In
0.500 0.500 0.000 In
0.292 0.199 0.595 In
0.708 0.801 0.405 In
0.095 0.402 0.202 In
0.887 0.111 0.807 Ce
0.306 0.696 0.605 Ce
0.694 0.304 0.395 Ce
0.113 0.889 0.193 Ce
0.500 0.000 0.000 Tl
```

Computed properties:
energy relative to the lowest polymorph listed for this composition: 0.000 eV/f.u.
energy of formation from the pure elements: -3.1 eV/f.u.
crystal system: triclinic
space-group type: P-1 (2)

[12]
CeTmTlIn after structural relaxation. Source: the Alexandria database, functional PBE.

```
CeTmTlIn
1.0
5.006 0.000 0.000
0.000 5.005 0.001
-2.503 -2.502 4.371
In Tm Ce Tl
1 1 1 1
Direct
0.250 0.750 0.500 In
0.500 0.500 0.000 Tm
0.000 0.000 0.000 Ce
0.750 0.250 0.500 Tl
```

Computed properties:
energy of formation from the pure elements: -1.3 eV/f.u.
crystal system: tetragonal
space-group type: I-4m2 (119)

[13]
CeTm5TlIn2 after structural relaxation. Source: the Alexandria database, functional PBE.

```
CeTm5TlIn2
1.0
-2.927 5.788 -5.277
-7.673 -3.251 0.689
3.957 3.065 7.791
Ce In Tm Tl
2 4 10 2
Direct
0.750 0.250 0.500 Ce
0.250 0.750 0.500 Ce
0.613 0.113 0.000 In
0.887 0.613 0.000 In
0.113 0.387 0.000 In
0.387 0.887 0.000 In
0.570 0.658 0.728 Tm
0.930 0.430 0.272 Tm
0.070 0.570 0.728 Tm
0.658 0.158 0.728 Tm
0.500 0.500 0.000 Tm
0.158 0.070 0.728 Tm
0.430 0.342 0.272 Tm
0.842 0.930 0.272 Tm
0.342 0.842 0.272 Tm
0.000 0.000 0.000 Tm
0.750 0.750 0.500 Tl
0.250 0.250 0.500 Tl
```

Computed properties:
energy of formation from the pure elements: -0.1 eV/f.u.
crystal system: tetragonal
space-group type: I4/mcm (140)

[14]
CeTmTlIn after structural relaxation. Source: the Alexandria database, functional PBE.

```
CeTmTlIn
1.0
-4.295 0.540 3.213
0.463 -0.905 5.294
-0.268 4.116 3.472
Tl Ce Tm In
1 1 1 1
Direct
0.000 0.000 0.000 Tl
0.250 0.250 0.250 Ce
0.750 0.750 0.750 Tm
0.500 0.500 0.500 In
```

Computed properties:
energy of formation from the pure elements: -1.3 eV/f.u.
crystal system: cubic
space-group type: F-43m (216)

[15]
CeTlZnIn after structural relaxation. Source: the Alexandria database, functional PBE.

```
CeTlZnIn
1.0
-2.542 2.590 -3.693
-0.334 -1.966 -4.778
-4.534 -1.779 -1.756
In Zn Ce Tl
1 1 1 1
Direct
0.000 0.000 0.000 In
0.250 0.250 0.250 Zn
0.500 0.500 0.500 Ce
0.750 0.750 0.750 Tl
```

Computed properties:
energy of formation from the pure elements: -0.6 eV/f.u.
crystal system: cubic
space-group type: F-43m (216)

[16]
Ce6TmIn2 after structural relaxation. Source: the Alexandria database, functional PBE.

```
Ce6TmIn2
1.0
-3.924 -1.472 -0.338
1.494 -2.303 -7.308
3.651 -4.985 5.479
Ce In Tm
6 2 1
Direct
0.163 0.450 0.326 Ce
0.271 0.127 0.543 Ce
0.837 0.550 0.674 Ce
0.615 0.196 0.229 Ce
0.729 0.873 0.457 Ce
0.385 0.804 0.771 Ce
0.059 0.830 0.118 In
0.941 0.170 0.882 In
0.500 0.500 0.000 Tm
```

Computed properties:
energy relative to the lowest polymorph listed for this composition: 0.000 eV/f.u.
energy of formation from the pure elements: -1.4 eV/f.u.
crystal system: monoclinic
space-group type: C2/m (12)

[17]
Ce2Tm3In4 after structural relaxation. Source: the Alexandria database, functional PBE.

```
Ce2Tm3In4
1.0
-2.864 -4.694 4.248
6.328 1.591 6.023
-3.416 8.455 1.356
In Tm Ce
8 6 4
Direct
0.178 0.960 0.356 In
0.796 0.250 0.091 In
0.678 0.540 0.356 In
0.204 0.750 0.909 In
0.704 0.750 0.909 In
0.296 0.250 0.091 In
0.822 0.040 0.644 In
0.322 0.460 0.644 In
0.973 0.250 0.446 Tm
0.473 0.250 0.446 Tm
0.000 0.000 0.000 Tm
0.527 0.750 0.554 Tm
0.500 0.500 0.000 Tm
0.027 0.750 0.554 Tm
0.894 0.418 0.788 Ce
0.394 0.082 0.788 Ce
0.606 0.918 0.212 Ce
0.106 0.582 0.212 Ce
```

Computed properties:
energy of formation from the pure elements: -2.0 eV/f.u.
crystal system: orthorhombic
space-group type: Cmce (64)

[18]
CeTm4In4 after structural relaxation. Source: the Alexandria database, functional PBE.

```
CeTm4In4
1.0
-3.532 -5.632 2.917
-2.915 -1.524 -6.472
8.084 -6.200 -2.181
Ce In Tm
2 8 8
Direct
0.500 0.500 0.500 Ce
0.000 0.000 0.000 Ce
0.500 0.208 0.796 In
0.500 0.792 0.796 In
0.792 0.500 0.204 In
0.000 0.708 0.704 In
0.708 0.000 0.296 In
0.208 0.500 0.204 In
0.000 0.292 0.704 In
0.292 0.000 0.296 In
0.764 0.500 0.907 Tm
0.736 0.000 0.593 Tm
0.236 0.500 0.907 Tm
0.000 0.736 0.407 Tm
0.500 0.236 0.093 Tm
0.264 0.000 0.593 Tm
0.500 0.764 0.093 Tm
0.000 0.264 0.407 Tm
```

Computed properties:
energy of formation from the pure elements: -1.2 eV/f.u.
crystal system: tetragonal
space-group type: P4_2/nmc (137)

[19]
CeTm2In after structural relaxation. Source: the Alexandria database, functional PBE.

```
CeTm2In
1.0
-2.957 0.472 1.755
-3.009 -1.093 -1.342
-0.637 -9.939 5.033
Tm In Ce
2 1 1
Direct
0.255 0.255 0.236 Tm
0.079 0.079 0.764 Tm
0.667 0.667 0.000 In
0.500 0.500 0.500 Ce
```

Computed properties:
energy relative to the lowest polymorph listed for this composition: 0.437 eV/f.u.
energy of formation from the pure elements: -0.4 eV/f.u.
crystal system: trigonal
space-group type: R3m (160)

[20]
CeTm2In after structural relaxation. Source: the Alexandria database, functional PBE.

```
CeTm2In
1.0
-2.872 -1.662 -1.112
-0.682 -1.014 3.279
-4.874 7.541 1.318
Tm Ce In
2 1 1
Direct
0.000 0.000 0.232 Tm
0.000 0.000 0.768 Tm
0.500 0.500 0.500 Ce
0.500 0.500 0.000 In
```

Computed properties:
energy relative to the lowest polymorph listed for this composition: 0.037 eV/f.u.
energy of formation from the pure elements: -0.8 eV/f.u.
crystal system: tetragonal
space-group type: P4/mmm (123)